{"formula": "LaTbSmAg", "functional": "GGA-PBE", "state": "relaxed", "lattice": [[3.704, 0.000, 0.000], [0.000, 3.704, 0.000], [0.000, 0.000, 8.713]], "species": ["Sm", "La", "Ag", "Tb"], "fractional_positions": [[0.500, 0.500, 0.780], [0.000, 0.000, 0.075], [0.000, 0.000, 0.565], [0.500, 0.500, 0.366]], "dos_at_fermi_per_ev_atom": 1.477, "relative_energy_ev_per_atom": 0.0000, "vol_a3_per_atom": 29.88}